# 1
Computed, not measured: TbSc6Tl after structural relaxation at the GGA-PBE level of DFT.

Cell lengths 6.204, 6.204, 6.205 Å; angles 90.62, 90.62, 121.46 degrees
Element x y z (fractional)
1 Tb 0.000 0.000 0.000
2 Sc 0.033 0.575 0.753
3 Sc 0.425 0.967 0.247
4 Sc 0.465 0.465 0.749
5 Sc 0.535 0.535 0.251
6 Sc 0.575 0.033 0.753
7 Sc 0.967 0.425 0.247
8 Tl 0.000 0.000 0.500

Properties
Formation enthalpy at 0 K   0.995 eV per formula unit
Electronic total energy   -5.499 eV per atom

# 2
Computed, not measured: Ca2MgCl after structural relaxation at the GGA-PBE level of DFT.

Cell lengths 3.893, 3.893, 9.303 Å; angles 102.09, 102.09, 59.99 degrees
Element x y z (fractional)
1 Ca 0.241 0.241 0.226
2 Ca 0.759 0.759 0.774
3 Mg 0.000 0.000 0.500
4 Cl 0.500 0.500 0.000

Properties
Electronic total energy   -2.641 eV per atom
Energy relative to the elements, uncorrected   -0.7798 eV/atom

# 3
Computed, not measured: LiSm2GaO after structural relaxation at the GGA-PBE level of DFT.

Cell lengths 4.884, 4.884, 4.091 Å; angles 90.00, 90.00, 90.00 degrees
Element x y z (fractional)
1 Li 0.000 0.000 0.000
2 Sm 0.000 0.500 0.500
3 Sm 0.500 0.000 0.500
4 Ga 0.500 0.500 0.000
5 O 0.000 0.000 0.500

Properties
Electronic total energy   -5.291 eV per atom
Energy relative to the elements, uncorrected   -1.4231 eV/atom

# 4
Computed, not measured: Nd2MgPd6 after structural relaxation at the GGA-PBE level of DFT.

Cell lengths 5.837, 5.837, 5.881 Å; angles 90.00, 90.00, 120.00 degrees
Element x y z (fractional)
1 Nd 0.333 0.667 0.316
2 Nd 0.667 0.333 0.684
3 Mg 0.000 0.000 0.500
4 Pd 0.175 0.350 0.815
5 Pd 0.175 0.825 0.815
6 Pd 0.350 0.175 0.185
7 Pd 0.650 0.825 0.815
8 Pd 0.825 0.175 0.185
9 Pd 0.825 0.650 0.185

Properties
Formation enthalpy at 0 K   -6.484 eV per formula unit
Electronic total energy   -5.419 eV per atom

# 5
Computed, not measured: Tl5Si after structural relaxation at the GGA-PBE level of DFT.

Cell lengths 6.384, 6.384, 6.384 Å; angles 60.00, 60.00, 60.00 degrees
Element x y z (fractional)
1 Tl 0.000 0.000 0.000
2 Tl 0.127 0.624 0.624
3 Tl 0.624 0.127 0.624
4 Tl 0.624 0.624 0.127
5 Tl 0.624 0.624 0.624
6 Si 0.250 0.250 0.250

Properties
Electronic total energy   -2.471 eV per atom
Energy relative to the elements, uncorrected   0.4049 eV/atom

# 6
Computed, not measured: MnCr2Pb after structural relaxation at the GGA-PBE level of DFT.

Cell lengths 3.135, 3.135, 7.088 Å; angles 90.00, 90.00, 90.00 degrees
Element x y z (fractional)
1 Mn 0.000 0.000 0.000
2 Cr 0.500 0.500 0.199
3 Cr 0.500 0.500 0.801
4 Pb 0.000 0.000 0.500

Properties
Formation enthalpy at 0 K   1.854 eV per formula unit
Electronic total energy   -7.568 eV per atom

# 7
Computed, not measured: Tm3HgCCl after structural relaxation at the GGA-PBE level of DFT.

Cell lengths 8.698, 3.615, 8.768 Å; angles 90.00, 93.62, 90.00 degrees
Element x y z (fractional)
1 Tm 0.083 0.250 0.352
2 Tm 0.354 0.750 0.558
3 Tm 0.383 0.750 0.179
4 Tm 0.617 0.250 0.821
5 Tm 0.646 0.250 0.442
6 Tm 0.917 0.750 0.648
7 Hg 0.276 0.250 0.836
8 Hg 0.724 0.750 0.164
9 C 0.364 0.250 0.361
10 C 0.636 0.750 0.639
11 Cl 0.084 0.750 0.125
12 Cl 0.916 0.250 0.875

Properties
Electronic total energy   -4.813 eV per atom
Energy relative to the elements, uncorrected   -0.6816 eV/atom